1.
Material: Li2FeRu
Method: DFT, PBE-GGA
State: relaxed

- Energy relative to the elements: 480 meV/atom

a = 5.8302 Å, b = 5.8302 Å, c = 5.8302 Å
α = 90.00°, β = 90.00°, γ = 90.00°
Fractional coordinates of all 16 atoms:
1 Li 0.2500 0.2500 0.2500
2 Li 0.2500 0.2500 0.7500
3 Li 0.2500 0.7500 0.2500
4 Li 0.2500 0.7500 0.7500
5 Li 0.7500 0.2500 0.2500
6 Li 0.7500 0.2500 0.7500
7 Li 0.7500 0.7500 0.2500
8 Li 0.7500 0.7500 0.7500
9 Fe 0.0000 0.0000 0.0000
10 Fe 0.0000 0.5000 0.5000
11 Fe 0.5000 0.0000 0.5000
12 Fe 0.5000 0.5000 0.0000
13 Ru 0.0000 0.0000 0.5000
14 Ru 0.0000 0.5000 0.0000
15 Ru 0.5000 0.0000 0.0000
16 Ru 0.5000 0.5000 0.5000

2.
Material: Tc7As
Method: DFT, PBE-GGA
State: relaxed

- Energy relative to the elements: 214 meV/atom

a = 5.4898 Å, b = 5.4898 Å, c = 5.4898 Å
α = 60.00°, β = 60.00°, γ = 60.00°
Fractional coordinates of all 8 atoms:
1 Tc 0.0000 0.0000 0.0000
2 Tc 0.0000 0.0000 0.5000
3 Tc 0.0000 0.5000 0.0000
4 Tc 0.0000 0.5000 0.5000
5 Tc 0.5000 0.0000 0.0000
6 Tc 0.5000 0.0000 0.5000
7 Tc 0.5000 0.5000 0.0000
8 As 0.5000 0.5000 0.5000

3.
Material: NaSrPr
Method: DFT, PBE-GGA
State: relaxed

- Energy relative to the elements: 166 meV/atom

a = 3.8685 Å, b = 3.8685 Å, c = 9.6707 Å
α = 90.00°, β = 90.00°, γ = 120.00°
Fractional coordinates of all 3 atoms:
1 Na 0.0000 0.0000 0.0000
2 Sr 0.6667 0.3333 0.3489
3 Pr 0.3333 0.6667 0.6801